1.
This record from OQMD via LeMat-Bulk describes a relaxed structure of GaW2Au. The functional is PBE.

Cell and atoms, written as CIF:
```
data_GaW2Au
_chemical_formula_sum 'Ga4 W8 Au4'
_space_group_name_H-M_alt 'F -4 3 m'
_space_group_IT_number 216
_space_group_name_Hall 'F -4 2 3'
_cell_length_a 6.407
_cell_length_b 6.407
_cell_length_c 6.407
_cell_angle_alpha 90.00
_cell_angle_beta 90.00
_cell_angle_gamma 90.00
loop_
_atom_site_label
_atom_site_type_symbol
_atom_site_fract_x
_atom_site_fract_y
_atom_site_fract_z
_atom_site_occupancy
Ga1 Ga 0.000 0.000 0.000 1
W1 W 0.000 0.000 0.500 1
W2 W 0.250 0.250 0.750 1
Au1 Au 0.250 0.250 0.250 1
```

---

2.
This record from OQMD via LeMat-Bulk describes a relaxed structure of NaAg3S2. The functional is PBE.

Cell and atoms, written as CIF:
```
data_NaAg3S2
_chemical_formula_sum 'Na4 Ag12 S8'
_space_group_name_H-M_alt 'C 1 2/m 1'
_space_group_IT_number 12
_cell_length_a 16.025
_cell_length_b 4.166
_cell_length_c 9.158
_cell_angle_alpha 90.00
_cell_angle_beta 123.05
_cell_angle_gamma 90.00
loop_
_space_group_symop_operation_xyz
'x,y,z'
'-x,-y,-z'
'-x,y,-z'
'x,-y,z'
'x+1/2,y+1/2,z'
'-x+1/2,-y+1/2,-z'
'-x+1/2,y+1/2,-z'
'x+1/2,-y+1/2,z'
loop_
_atom_site_label
_atom_site_type_symbol
_atom_site_fract_x
_atom_site_fract_y
_atom_site_fract_z
_atom_site_occupancy
Na1 Na 0.139 0.000 0.233 1
Ag1 Ag 0.056 0.000 0.712 1
Ag2 Ag 0.107 0.500 0.537 1
Ag3 Ag 0.177 0.500 0.976 1
S1 S 0.010 0.500 0.211 1
S2 S 0.215 0.000 0.706 1
```

---

3.
This record from OQMD via LeMat-Bulk describes a relaxed structure of CoW12. The functional is PBE.

Cell and atoms, written as CIF:
```
data_CoW12
_chemical_formula_sum 'Co3 W36'
_space_group_name_H-M_alt 'R -3 m'
_space_group_IT_number 166
_space_group_name_Hall '-R 3 2"'
_cell_length_a 5.1340
_cell_length_b 5.1340
_cell_length_c 27.6352
_cell_angle_alpha 90.00
_cell_angle_beta 90.00
_cell_angle_gamma 120.00
loop_
_atom_site_label
_atom_site_type_symbol
_atom_site_fract_x
_atom_site_fract_y
_atom_site_fract_z
_atom_site_occupancy
Co1 Co 0.0000 0.0000 0.0000 1
W1 W 0.0000 0.0000 0.1665 1
W2 W 0.0000 0.0000 0.3507 1
W3 W 0.0000 0.0000 0.4546 1
W4 W 0.0018 0.5009 0.4085 1
```

- ΔH_f (0 K) (kJ/mol of formula units) = 374

---

4.
This record from OQMD via LeMat-Bulk describes a relaxed structure of ScHg2B. The functional is PBE.

Cell and atoms, written as CIF:
```
data_ScHg2B
_chemical_formula_sum 'Sc4 Hg8 B4'
_space_group_name_H-M_alt 'F -4 3 m'
_space_group_IT_number 216
_space_group_name_Hall 'F -4 2 3'
_cell_length_a 6.645
_cell_length_b 6.645
_cell_length_c 6.645
_cell_angle_alpha 90.00
_cell_angle_beta 90.00
_cell_angle_gamma 90.00
loop_
_atom_site_label
_atom_site_type_symbol
_atom_site_fract_x
_atom_site_fract_y
_atom_site_fract_z
_atom_site_occupancy
Sc1 Sc 0.000 0.000 0.000 1
Hg1 Hg 0.000 0.000 0.500 1
Hg2 Hg 0.250 0.250 0.250 1
B1 B 0.250 0.250 0.750 1
```

---

5.
This record from OQMD via LeMat-Bulk describes a relaxed structure of LiTe2WAuSe. The functional is PBE.

Cell and atoms, written as CIF:
```
data_LiTe2WAuSe
_chemical_formula_sum 'Li4 Te8 W4 Au4 Se4'
_space_group_name_H-M_alt 'C m c m'
_space_group_IT_number 63
_space_group_name_Hall '-C 2c 2'
_cell_length_a 3.615
_cell_length_b 14.498
_cell_length_c 9.977
_cell_angle_alpha 90.00
_cell_angle_beta 90.00
_cell_angle_gamma 90.00
loop_
_atom_site_label
_atom_site_type_symbol
_atom_site_fract_x
_atom_site_fract_y
_atom_site_fract_z
_atom_site_occupancy
Li1 Li 0.000 0.234 0.250 1
Te1 Te 0.000 0.352 0.522 1
W1 W 0.000 0.000 0.000 1
Au1 Au 0.000 0.450 0.750 1
Se1 Se 0.000 0.085 0.750 1
```

---

6.
This record from OQMD via LeMat-Bulk describes a relaxed structure of TaFeAs. The functional is PBE.

Cell and atoms, written as CIF:
```
data_TaFeAs
_chemical_formula_sum 'Ta4 Fe4 As4'
_space_group_name_H-M_alt 'P n m a'
_space_group_IT_number 62
_cell_length_a 5.315
_cell_length_b 3.775
_cell_length_c 8.867
_cell_angle_alpha 90.00
_cell_angle_beta 90.00
_cell_angle_gamma 90.00
loop_
_space_group_symop_operation_xyz
'x,y,z'
'-x,-y,-z'
'-x+1/2,-y,z+1/2'
'x+1/2,y,-z+1/2'
'x+1/2,-y+1/2,-z+1/2'
'-x+1/2,y+1/2,z+1/2'
'-x,y+1/2,-z'
'x,-y+1/2,z'
loop_
_atom_site_label
_atom_site_type_symbol
_atom_site_fract_x
_atom_site_fract_y
_atom_site_fract_z
_atom_site_occupancy
Ta1 Ta 0.118 0.250 0.132 1
Fe1 Fe 0.107 0.250 0.461 1
As1 As 0.250 0.250 0.835 1
```

---

7.
This record from OQMD via LeMat-Bulk describes a relaxed structure of PrAsPd. The functional is PBE.

Cell and atoms, written as CIF:
```
data_PrAsPd
_chemical_formula_sum 'Pr2 As2 Pd2'
_space_group_name_H-M_alt 'P 63/m m c'
_space_group_IT_number 194
_space_group_name_Hall '-P 6c 2c'
_cell_length_a 4.3863
_cell_length_b 4.3863
_cell_length_c 7.9512
_cell_angle_alpha 90.00
_cell_angle_beta 90.00
_cell_angle_gamma 120.00
loop_
_atom_site_label
_atom_site_type_symbol
_atom_site_fract_x
_atom_site_fract_y
_atom_site_fract_z
_atom_site_occupancy
Pr1 Pr 0.0000 0.0000 0.0000 1
As1 As 0.3333 0.6667 0.2500 1
Pd1 Pd 0.3333 0.6667 0.7500 1
```

---

8.
This record from OQMD via LeMat-Bulk describes a relaxed structure of Er3Ni7B2. The functional is PBE.

Cell and atoms, written as CIF:
```
data_Er3Ni7B2
_chemical_formula_sum 'Er6 Ni14 B4'
_space_group_name_H-M_alt 'P 63/m m c'
_space_group_IT_number 194
_space_group_name_Hall '-P 6c 2c'
_cell_length_a 5.0573
_cell_length_b 5.0573
_cell_length_c 14.2963
_cell_angle_alpha 90.00
_cell_angle_beta 90.00
_cell_angle_gamma 120.00
loop_
_atom_site_label
_atom_site_type_symbol
_atom_site_fract_x
_atom_site_fract_y
_atom_site_fract_z
_atom_site_occupancy
Er1 Er 0.3333 0.6667 0.0325 1
Er2 Er 0.3333 0.6667 0.2500 1
Ni1 Ni 0.0000 0.0000 0.0000 1
Ni2 Ni 0.1657 0.3313 0.6486 1
B1 B 0.0000 0.0000 0.2500 1
B2 B 0.3333 0.6667 0.7500 1
```

---

9.
This record from OQMD via LeMat-Bulk describes a relaxed structure of MgAsIrO. The functional is PBE.

Cell and atoms, written as CIF:
```
data_MgAsIrO
_chemical_formula_sum 'Mg2 As2 Ir2 O2'
_space_group_name_H-M_alt 'P 4/n m m'
_space_group_IT_number 129
_cell_length_a 3.773
_cell_length_b 3.773
_cell_length_c 7.963
_cell_angle_alpha 90.00
_cell_angle_beta 90.00
_cell_angle_gamma 90.00
loop_
_space_group_symop_operation_xyz
'x,y,z'
'-x,-y,-z'
'-y+1/2,x,z'
'y+1/2,-x,-z'
'-x+1/2,-y+1/2,z'
'x+1/2,y+1/2,-z'
'y,-x+1/2,z'
'-y,x+1/2,-z'
'x+1/2,-y,-z'
'-x+1/2,y,z'
'-y,-x,-z'
'y,x,z'
'-x,y+1/2,-z'
'x,-y+1/2,z'
'y+1/2,x+1/2,-z'
'-y+1/2,-x+1/2,z'
loop_
_atom_site_label
_atom_site_type_symbol
_atom_site_fract_x
_atom_site_fract_y
_atom_site_fract_z
_atom_site_occupancy
Mg1 Mg 0.250 0.750 0.000 1
As1 As 0.250 0.250 0.345 1
Ir1 Ir 0.250 0.250 0.769 1
O1 O 0.250 0.750 0.500 1
```

---

10.
This record from OQMD via LeMat-Bulk describes a relaxed structure of Ni8As. The functional is PBE.

Cell and atoms, written as CIF:
```
data_Ni8As
_chemical_formula_sum 'Ni32 As4'
_space_group_name_H-M_alt 'C 1 2/m 1'
_space_group_IT_number 12
_cell_length_a 7.723
_cell_length_b 3.497
_cell_length_c 28.093
_cell_angle_alpha 90.00
_cell_angle_beta 90.18
_cell_angle_gamma 90.00
loop_
_space_group_symop_operation_xyz
'x,y,z'
'-x,-y,-z'
'-x,y,-z'
'x,-y,z'
'x+1/2,y+1/2,z'
'-x+1/2,-y+1/2,-z'
'-x+1/2,y+1/2,-z'
'x+1/2,-y+1/2,z'
loop_
_atom_site_label
_atom_site_type_symbol
_atom_site_fract_x
_atom_site_fract_y
_atom_site_fract_z
_atom_site_occupancy
Ni1 Ni 0.050 0.000 0.042 1
Ni2 Ni 0.050 0.500 0.183 1
Ni3 Ni 0.050 0.500 0.903 1
Ni4 Ni 0.150 0.500 0.986 1
Ni5 Ni 0.151 0.000 0.847 1
Ni6 Ni 0.152 0.000 0.125 1
Ni7 Ni 0.250 0.000 0.213 1
Ni8 Ni 0.250 0.000 0.931 1
As1 As 0.051 0.000 0.766 1
```

---

Number 1: total DFT energy (no corrections) -7.5487 eV/atom. Number 2: total DFT energy (no corrections) -3.3262 eV/atom. Number 3: total DFT energy (no corrections) -12.2117 eV/atom. Number 4: total DFT energy (no corrections) -2.8901 eV/atom. Number 5: total DFT energy (no corrections) -4.6336 eV/atom. Number 6: total DFT energy (no corrections) -8.4322 eV/atom. Number 7: total DFT energy (no corrections) -6.0524 eV/atom. Number 8: total DFT energy (no corrections) -6.0340 eV/atom. Number 9: total DFT energy (no corrections) -4.9230 eV/atom. Number 10: total DFT energy (no corrections) -5.4948 eV/atom.